(1)
The following is a DFT calculation (PBE-GGA) of a relaxed structure of FePOsS2.

Results
* formation energy from raw total energies: 0.986 eV per atom
* total moment: 0.58 μB per atom
* energy above the lowest structure with this stoichiometry: 0 meV/atom
* N(E_F): 8.042 states/eV/cell

Cell: 4.738 4.738 4.455 Å, 90.00 90.00 90.00°
Space group P4/mmm (No. 123)
Symmetry-distinct sites (fractional):
Fe 0.000 0.000 0.000 (multiplicity 1)
P 0.500 0.500 0.000 (multiplicity 1)
Os 0.500 0.500 0.500 (multiplicity 1)
S 0.000 0.500 0.500 (multiplicity 2)

(2)
The following is a DFT calculation (PBE-GGA) of a relaxed structure of Sc2FePOs.

Results
* total moment: 0.00 μB per atom
* ΔE_f: 136 meV per atom
* N(E_F): 3.016 states/eV/cell

Cell: 4.815 4.815 3.923 Å, 90.00 90.00 90.00°
Space group P4/mmm (No. 123)
Symmetry-distinct sites (fractional):
Sc 0.000 0.500 0.000 (multiplicity 2)
Fe 0.000 0.000 0.500 (multiplicity 1)
P 0.000 0.000 0.000 (multiplicity 1)
Os 0.500 0.500 0.500 (multiplicity 1)

(3)
The following is a DFT calculation (PBE-GGA) of a relaxed structure of SmFeP2Os.

Results
* total moment: 0.00 μB per atom
* ΔE_f: -838 meV per atom
* N(E_F): 3.662 states/eV/cell

Cell: 3.976 3.976 9.850 Å, 90.00 90.00 90.00°
Space group I-4m2 (No. 119)
Symmetry-distinct sites (fractional):
Sm 0.000 0.000 0.000 (multiplicity 2)
Fe 0.000 0.500 0.250 (multiplicity 2)
P 0.000 0.000 0.368 (multiplicity 4)
Os 0.000 0.500 0.750 (multiplicity 2)

(4)
The following is a DFT calculation (PBE-GGA) of a relaxed structure of SrFeP2Os.

Results
* total moment: 0.00 μB per atom
* ΔE_f: -722 meV per atom
* N(E_F): 5.148 states/eV/cell

Cell: 3.943 3.943 11.501 Å, 90.00 90.00 90.00°
Space group I-4m2 (No. 119)
Symmetry-distinct sites (fractional):
Sr 0.000 0.000 0.000 (multiplicity 2)
Fe 0.000 0.500 0.250 (multiplicity 2)
P 0.000 0.000 0.350 (multiplicity 4)
Os 0.000 0.500 0.750 (multiplicity 2)

(5)
The following is a DFT calculation (PBE-GGA) of a relaxed structure of TbFeP2Os.

Results
* total moment: 0.00 μB per atom
* ΔE_f: -855 meV per atom
* N(E_F): 3.661 states/eV/cell

Cell: 3.966 3.966 9.610 Å, 90.00 90.00 90.00°
Space group I-4m2 (No. 119)
Symmetry-distinct sites (fractional):
Tb 0.000 0.000 0.000 (multiplicity 2)
Fe 0.000 0.500 0.250 (multiplicity 2)
P 0.000 0.000 0.372 (multiplicity 4)
Os 0.000 0.500 0.750 (multiplicity 2)

(6)
The following is a DFT calculation (PBE-GGA) of a relaxed structure of Fe2TePOs.

Results
* formation energy from raw total energies: 1.828 eV per atom
* total moment: 1.15 μB per atom
* N(E_F): 4.499 states/eV/cell

Cell: 4.684 4.684 4.881 Å, 90.00 90.00 90.00°
Space group P4/mmm (No. 123)
Symmetry-distinct sites (fractional):
Fe 0.000 0.500 0.000 (multiplicity 2)
Te 0.000 0.000 0.000 (multiplicity 1)
P 0.500 0.500 0.500 (multiplicity 1)
Os 0.000 0.000 0.500 (multiplicity 1)

(7)
The following is a DFT calculation (PBE-GGA) of a relaxed structure of UFeP2Os.

Results
* total moment: 0.24 μB per atom
* ΔE_f: -621 meV per atom
* N(E_F): 13.660 states/eV/cell

Cell: 3.911 3.911 9.608 Å, 90.00 90.00 90.00°
Space group I-4m2 (No. 119)
Symmetry-distinct sites (fractional):
U 0.000 0.000 0.000 (multiplicity 2)
Fe 0.000 0.500 0.250 (multiplicity 2)
P 0.000 0.000 0.380 (multiplicity 4)
Os 0.000 0.500 0.750 (multiplicity 2)

(8)
The following is a DFT calculation (PBE-GGA) of a relaxed structure of YFeP2Os.

Results
* total moment: 0.00 μB per atom
* ΔE_f: -850 meV per atom
* N(E_F): 3.598 states/eV/cell

Cell: 3.964 3.964 9.597 Å, 90.00 90.00 90.00°
Space group I-4m2 (No. 119)
Symmetry-distinct sites (fractional):
Y 0.000 0.000 0.000 (multiplicity 2)
Fe 0.000 0.500 0.250 (multiplicity 2)
P 0.000 0.000 0.372 (multiplicity 4)
Os 0.000 0.500 0.750 (multiplicity 2)

(9)
The following is a DFT calculation (PBE-GGA) of a relaxed structure of PaFe2Os.

Results
* total moment: 0.68 μB per atom
* energy above the lowest structure with this stoichiometry: 9 meV/atom
* ΔE_f: -12 meV per atom
* N(E_F): 11.912 states/eV/cell

Cell: 4.2952 4.2952 12.6586 Å, 90.00 90.00 120.00°
Space group R-3m (No. 166, hexagonal axes)
Symmetry-distinct sites (fractional):
Pa 0.0000 0.0000 0.0000 (multiplicity 3)
Fe 0.0000 0.0000 0.1916 (multiplicity 6)
Os 0.0000 0.0000 0.5000 (multiplicity 3)

(10)
The following is a DFT calculation (PBE-GGA) of a relaxed structure of Pa2Fe9Os.

Results
* total moment: 0.49 μB per atom
* ΔE_f: 101 meV per atom
* N(E_F): 36.774 states/eV/cell

Cell: 4.7302 4.7302 24.9519 Å, 90.00 90.00 120.00°
Space group R-3m (No. 166, hexagonal axes)
Symmetry-distinct sites (fractional):
Pa 0.0000 0.0000 0.1406 (multiplicity 6)
Fe 0.0000 0.0000 0.3333 (multiplicity 6)
Fe 0.0000 0.0000 0.5000 (multiplicity 3)
Fe 0.0004 0.5002 0.0780 (multiplicity 18)
Os 0.0000 0.0000 0.0000 (multiplicity 3)

(11)
The following is a DFT calculation (PBE-GGA) of a relaxed structure of PaFe2Os.

Results
* total moment: 0.41 μB per atom
* energy above the lowest structure with this stoichiometry: 0 meV/atom
* ΔE_f: -21 meV per atom
* N(E_F): 5.340 states/eV/cell

Cell: 3.947 3.947 3.874 Å, 90.00 90.00 90.00°
Space group P4/mmm (No. 123)
Symmetry-distinct sites (fractional):
Pa 0.000 0.000 0.000 (multiplicity 1)
Fe 0.000 0.500 0.500 (multiplicity 2)
Os 0.500 0.500 0.000 (multiplicity 1)

(12)
The following is a DFT calculation (PBE-GGA) of a relaxed structure of PaFeOs.

Results
* total moment: 0.56 μB per atom
* energy above the lowest structure with this stoichiometry: 0 meV/atom
* ΔE_f: -304 meV per atom
* N(E_F): 15.075 states/eV/cell

Cell: 4.808 5.595 7.510 Å, 90.00 90.00 90.00°
Space group Imma (No. 74)
Symmetry-distinct sites (fractional):
Pa 0.000 0.250 0.127 (multiplicity 4)
Fe 0.250 0.250 0.750 (multiplicity 4)
Os 0.000 0.000 0.500 (multiplicity 4)

(13)
The following is a DFT calculation (PBE-GGA) of a relaxed structure of PaFeOs.

Results
* total moment: 0.00 μB per atom
* energy above the lowest structure with this stoichiometry: 51 meV/atom
* ΔE_f: -253 meV per atom
* N(E_F): 9.432 states/eV/cell

Cell: 4.572 8.513 5.449 Å, 90.00 90.00 90.00°
Space group Cmcm (No. 63)
Symmetry-distinct sites (fractional):
Pa 0.000 0.221 0.250 (multiplicity 4)
Fe 0.000 0.033 0.750 (multiplicity 4)
Os 0.000 0.500 0.000 (multiplicity 4)

(14)
The following is a DFT calculation (PBE-GGA) of a relaxed structure of Pa2FeOs3.

Results
* total moment: 0.21 μB per atom
* ΔE_f: -278 meV per atom
* N(E_F): 14.772 states/eV/cell

Cell: 5.4469 5.4469 8.1906 Å, 90.00 90.00 120.00°
Space group P6_3/mmc (No. 194)
Symmetry-distinct sites (fractional):
Pa 0.3333 0.6667 0.0751 (multiplicity 4)
Fe 0.0000 0.0000 0.0000 (multiplicity 2)
Os 0.1681 0.3363 0.7500 (multiplicity 6)

(15)
The following is a DFT calculation (PBE-GGA) of a relaxed structure of PaFeOs.

Results
* total moment: 0.35 μB per atom
* energy above the lowest structure with this stoichiometry: 263 meV/atom
* ΔE_f: -41 meV per atom
* N(E_F): 2.184 states/eV/cell

Cell: 4.1273 4.1273 3.7825 Å, 90.00 90.00 120.00°
Space group P-6m2 (No. 187)
Symmetry-distinct sites (fractional):
Pa 0.0000 0.0000 0.0000 (multiplicity 1)
Fe 0.6667 0.3333 0.5000 (multiplicity 1)
Os 0.3333 0.6667 0.5000 (multiplicity 1)

(16)
The following is a DFT calculation (PBE-GGA) of a relaxed structure of PuPaFeOs.

Results
* total moment: 1.04 μB per atom
* ΔE_f: -54 meV per atom
* N(E_F): 26.792 states/eV/cell

Cell: 6.765 6.765 6.765 Å, 90.00 90.00 90.00°
Space group F-43m (No. 216)
Symmetry-distinct sites (fractional):
Pu 0.000 0.000 0.000 (multiplicity 4)
Pa 0.000 0.000 0.500 (multiplicity 4)
Fe 0.250 0.250 0.250 (multiplicity 4)
Os 0.250 0.250 0.750 (multiplicity 4)

(17)
The following is a DFT calculation (PBE-GGA) of a relaxed structure of PaFe2Si2Os.

Results
* formation energy from raw total energies: 0.283 eV per atom
* total moment: 0.65 μB per atom
* N(E_F): 8.143 states/eV/cell

Cell: 4.615 4.615 5.132 Å, 90.00 90.00 90.00°
Space group P4/mmm (No. 123)
Symmetry-distinct sites (fractional):
Pa 0.000 0.000 0.000 (multiplicity 1)
Fe 0.500 0.500 0.262 (multiplicity 2)
Si 0.000 0.500 0.500 (multiplicity 2)
Os 0.000 0.000 0.500 (multiplicity 1)

(18)
The following is a DFT calculation (PBE-GGA) of a relaxed structure of PaFeSi2Os2.

Results
* formation energy from raw total energies: -0.138 eV per atom
* total moment: 0.00 μB per atom
* N(E_F): 6.922 states/eV/cell

Cell: 3.751 3.751 15.097 Å, 90.00 90.00 90.00°
Space group I4/mmm (No. 139)
Symmetry-distinct sites (fractional):
Pa 0.000 0.000 0.000 (multiplicity 2)
Fe 0.000 0.000 0.500 (multiplicity 2)
Si 0.000 0.000 0.352 (multiplicity 4)
Os 0.000 0.500 0.250 (multiplicity 4)

(19)
The following is a DFT calculation (PBE-GGA) of a relaxed structure of SmPaFeOs.

Results
* total moment: 0.16 μB per atom
* ΔE_f: 20 meV per atom
* N(E_F): 12.810 states/eV/cell

Cell: 6.864 6.864 6.864 Å, 90.00 90.00 90.00°
Space group F-43m (No. 216)
Symmetry-distinct sites (fractional):
Sm 0.000 0.000 0.000 (multiplicity 4)
Pa 0.000 0.000 0.500 (multiplicity 4)
Fe 0.250 0.250 0.250 (multiplicity 4)
Os 0.250 0.250 0.750 (multiplicity 4)

(20)
The following is a DFT calculation (PBE-GGA) of a relaxed structure of PaFeSnOs.

Results
* total moment: 0.29 μB per atom
* ΔE_f: -42 meV per atom
* N(E_F): 13.217 states/eV/cell

Cell: 6.655 6.655 6.655 Å, 90.00 90.00 90.00°
Space group F-43m (No. 216)
Symmetry-distinct sites (fractional):
Pa 0.000 0.000 0.000 (multiplicity 4)
Fe 0.250 0.250 0.250 (multiplicity 4)
Sn 0.000 0.000 0.500 (multiplicity 4)
Os 0.250 0.250 0.750 (multiplicity 4)

(21)
The following is a DFT calculation (PBE-GGA) of a relaxed structure of TbPaFeOs.

Results
* total moment: 0.17 μB per atom
* ΔE_f: -71 meV per atom
* N(E_F): 12.102 states/eV/cell

Cell: 6.811 6.811 6.811 Å, 90.00 90.00 90.00°
Space group F-43m (No. 216)
Symmetry-distinct sites (fractional):
Tb 0.000 0.000 0.000 (multiplicity 4)
Pa 0.000 0.000 0.500 (multiplicity 4)
Fe 0.250 0.250 0.250 (multiplicity 4)
Os 0.250 0.250 0.750 (multiplicity 4)

(22)
The following is a DFT calculation (PBE-GGA) of a relaxed structure of PaFeTcOs.

Results
* total moment: 1.08 μB per atom
* ΔE_f: 86 meV per atom
* N(E_F): 11.616 states/eV/cell

Cell: 6.481 6.481 6.481 Å, 90.00 90.00 90.00°
Space group F-43m (No. 216)
Symmetry-distinct sites (fractional):
Pa 0.000 0.000 0.000 (multiplicity 4)
Fe 0.000 0.000 0.500 (multiplicity 4)
Tc 0.250 0.250 0.750 (multiplicity 4)
Os 0.250 0.250 0.250 (multiplicity 4)

(23)
The following is a DFT calculation (PBE-GGA) of a relaxed structure of TmPaFeOs.

Results
* total moment: 0.18 μB per atom
* ΔE_f: -155 meV per atom
* N(E_F): 11.656 states/eV/cell

Cell: 6.758 6.758 6.758 Å, 90.00 90.00 90.00°
Space group F-43m (No. 216)
Symmetry-distinct sites (fractional):
Tm 0.000 0.000 0.000 (multiplicity 4)
Pa 0.000 0.000 0.500 (multiplicity 4)
Fe 0.250 0.250 0.250 (multiplicity 4)
Os 0.250 0.250 0.750 (multiplicity 4)

(24)
The following is a DFT calculation (PBE-GGA) of a relaxed structure of ZrPaFeOs.

Results
* total moment: 0.26 μB per atom
* ΔE_f: -161 meV per atom
* N(E_F): 19.916 states/eV/cell

Cell: 6.673 6.673 6.673 Å, 90.00 90.00 90.00°
Space group F-43m (No. 216)
Symmetry-distinct sites (fractional):
Zr 0.000 0.000 0.000 (multiplicity 4)
Pa 0.000 0.000 0.500 (multiplicity 4)
Fe 0.250 0.250 0.750 (multiplicity 4)
Os 0.250 0.250 0.250 (multiplicity 4)

(25)
The following is a DFT calculation (PBE-GGA) of a relaxed structure of Fe4OsPb.

Results
* total moment: 1.85 μB per atom
* ΔE_f: 417 meV per atom
* N(E_F): 15.330 states/eV/cell

Cell: 6.965 6.965 6.965 Å, 90.00 90.00 90.00°
Space group F-43m (No. 216)
Symmetry-distinct sites (fractional):
Fe 0.124 0.124 0.124 (multiplicity 16)
Os 0.250 0.250 0.750 (multiplicity 4)
Pb 0.000 0.000 0.500 (multiplicity 4)

(26)
The following is a DFT calculation (PBE-GGA) of a relaxed structure of FeOsPb3.

Results
* total moment: 0.59 μB per atom
* energy above the lowest structure with this stoichiometry: 0 meV/atom
* ΔE_f: 1062 meV per atom
* N(E_F): 5.740 states/eV/cell

Cell: 5.287 5.287 5.287 Å, 90.00 90.00 90.00°
Space group Pm-3m (No. 221)
Symmetry-distinct sites (fractional):
Fe 0.000 0.000 0.000 (multiplicity 1)
Os 0.500 0.500 0.500 (multiplicity 1)
Pb 0.000 0.500 0.500 (multiplicity 3)

(27)
The following is a DFT calculation (PBE-GGA) of a relaxed structure of FeOsPb.

Results
* total moment: 0.62 μB per atom
* energy above the lowest structure with this stoichiometry: 0 meV/atom
* ΔE_f: 718 meV per atom
* N(E_F): 6.222 states/eV/cell

Cell: 2.996 2.996 11.802 Å, 90.00 90.00 90.00°
Space group I4mm (No. 107)
Symmetry-distinct sites (fractional):
Fe 0.000 0.000 0.000 (multiplicity 2)
Os 0.000 0.000 0.391 (multiplicity 2)
Pb 0.000 0.000 0.693 (multiplicity 2)

(28)
The following is a DFT calculation (PBE-GGA) of a relaxed structure of FeOsPb2.

Results
* total moment: 0.78 μB per atom
* energy above the lowest structure with this stoichiometry: 302 meV/atom
* ΔE_f: 736 meV per atom
* N(E_F): 5.716 states/eV/cell

Cell: 10.305 3.142 5.450 Å, 90.00 110.31 90.00°
Space group Cm (No. 8)
Symmetry-distinct sites (fractional):
Fe 0.000 0.000 0.000 (multiplicity 2)
Os 0.159 0.500 0.295 (multiplicity 2)
Pb 0.230 0.000 0.832 (multiplicity 2)
Pb 0.425 0.000 0.459 (multiplicity 2)

(29)
The following is a DFT calculation (PBE-GGA) of a relaxed structure of FeOsPb2.

Results
* total moment: 0.66 μB per atom
* energy above the lowest structure with this stoichiometry: 602 meV/atom
* ΔE_f: 1035 meV per atom
* N(E_F): 8.610 states/eV/cell

Cell: 3.374 5.381 8.898 Å, 90.00 90.00 90.00°
Space group Cmmm (No. 65)
Symmetry-distinct sites (fractional):
Fe 0.000 0.000 0.000 (multiplicity 2)
Os 0.000 0.000 0.500 (multiplicity 2)
Pb 0.000 0.500 0.250 (multiplicity 4)